A plane-wave DFT calculation with PBE-GGA was carried out for an optimized crystal structure of NaErHg6.

Cell and atoms, written as CIF:
```
data_NaErHg6
_symmetry_space_group_name_H-M 'A m m 2'
_symmetry_Int_Tables_number 38
_cell_length_a 5.173
_cell_length_b 6.557
_cell_length_c 11.363
_cell_angle_alpha 90.00
_cell_angle_beta 90.00
_cell_angle_gamma 90.00
loop_
_symmetry_equiv_pos_as_xyz
'x,y,z'
'-x,-y,z'
'-x,y,z'
'x,-y,z'
'x,y+1/2,z+1/2'
'-x,-y+1/2,z+1/2'
'-x,y+1/2,z+1/2'
'x,-y+1/2,z+1/2'
loop_
_atom_site_label
_atom_site_fract_x
_atom_site_fract_y
_atom_site_fract_z
Na1 0.000 0.000 0.000
Er1 0.500 0.000 0.333
Hg1 0.000 0.000 0.500
Hg2 0.000 0.250 0.250
Hg3 0.500 0.000 0.834
Hg4 0.500 0.249 0.584
```

Theoretical density: 12010 kg/m³
Total DFT energy (no corrections): -19.42 eV per cell